(1)
Density functional theory data (GGA-PBE) for crystalline Ba3LaO at its relaxed geometry.

Cell: 5.710 5.710 5.710 Å, 90.00 90.00 90.00°
Space group Pm-3m (No. 221)
Unique sites:
Ba (0.000, 0.000, 0.500) x3
La (0.500, 0.500, 0.500) x1
O (0.000, 0.000, 0.000) x1

## Properties
* size of the total moment: 0.000 μB/cell
* raw formation energy: -745 meV/atom

***

(2)
Density functional theory data (GGA-PBE) for crystalline TcTeP2 at its relaxed geometry.

Cell: 3.834 3.834 4.750 Å, 90.00 90.00 90.00°
Space group P4/mmm (No. 123)
Unique sites:
Tc (0.000, 0.000, 0.000) x1
Te (0.500, 0.500, 0.000) x1
P (0.000, 0.500, 0.500) x2

## Properties
* size of the total moment: 0.000 μB/cell
* raw formation energy: 855 meV/atom

***

Question: Which formula does entry 1 have?
Answer: Ba3LaO